# 1
The following is a PBE calculation of an optimized crystal structure of ZnIn4Hg6, from Alexandria.

Properties
Calculated density   9.5 g cm⁻³
Total magnetization   0.000 Bohr magnetons per cell
E   -1.211 eV per atom

Cell lengths 10.2226, 8.2710, 8.2722 Å; angles 120.06, 90.00, 90.00 degrees
Fractional coordinates of all 22 atoms:
Zn: 0.0729 0.6672 0.3335
Zn: 0.5722 0.3331 0.6667
In: 0.6306 0.6669 0.3330
In: 0.1310 0.3328 0.6668
In: 0.2197 0.8355 0.6713
In: 0.2195 0.3292 0.1647
In: 0.2195 0.8356 0.1643
In: 0.7195 0.1651 0.3297
In: 0.7196 0.6700 0.8350
In: 0.7194 0.1650 0.8354
Hg: 0.5127 0.8664 0.7333
Hg: 0.5124 0.2666 0.1335
Hg: 0.5124 0.8668 0.1330
Hg: 0.0122 0.1336 0.2668
Hg: 0.0123 0.7330 0.8663
Hg: 0.0121 0.1332 0.8668
Hg: 0.3759 0.4694 0.9393
Hg: 0.3760 0.0605 0.5304
Hg: 0.3758 0.4693 0.5306
Hg: 0.8761 0.5309 0.0613
Hg: 0.8759 0.9390 0.4693
Hg: 0.8759 0.5310 0.4691


# 2
The following is a PBE calculation of an optimized crystal structure of Zn2InHg, from Alexandria.

Properties
Calculated density   8.2 g cm⁻³
Total magnetization   0.000 Bohr magnetons per cell
Relative energy among the computed polymorphs   6.8 kJ/mol of atoms
E   -1.240 eV per atom

Cell lengths 7.7442, 7.7442, 6.2482 Å; angles 51.70, 51.70, 90.00 degrees
Fractional coordinates of all 8 atoms:
Zn: 0.6328 0.1250 0.2500
Zn: 0.1172 0.6250 0.2500
Zn: 0.3750 0.3672 0.7500
Zn: 0.8750 0.8828 0.7500
Hg: 0.0000 0.0000 0.0000
Hg: 0.7500 0.2500 0.5000
In: 0.5000 0.5000 0.0000
In: 0.2500 0.7500 0.5000


# 3
The following is a PBE calculation of an optimized crystal structure of ZnIn2Hg, from Alexandria.

Properties
Calculated density   8.6 g cm⁻³
Total magnetization   0.000 Bohr magnetons per cell
Relative energy among the computed polymorphs   4.1 kJ/mol of atoms
E   -1.667 eV per atom

Cell lengths 5.5663, 5.5663, 5.5663 Å; angles 131.11, 131.11, 71.64 degrees
Fractional coordinates of all 4 atoms:
Hg: 0.7500 0.2500 0.5000
In: 0.0000 0.0000 0.0000
In: 0.5000 0.5000 0.0000
Zn: 0.2500 0.7500 0.5000


# 4
The following is a PBE calculation of an optimized crystal structure of ZnInHg2, from Alexandria.

Properties
Calculated density   10.1 g cm⁻³
Total magnetization   0.000 Bohr magnetons per cell
E   -1.082 eV per atom

Cell lengths 3.4335, 4.0170, 6.9635 Å; angles 90.00, 90.00, 90.00 degrees
Fractional coordinates of all 4 atoms:
Zn: 0.5000 0.5000 0.7588
Hg: 0.0000 0.0000 0.9760
Hg: 0.5000 0.5000 0.2464
In: 0.0000 0.0000 0.5189


# 5
The following is a PBE calculation of an optimized crystal structure of ZnIn2Hg, from Alexandria.

Properties
Calculated density   8.4 g cm⁻³
Total magnetization   0.000 Bohr magnetons per cell
Relative energy among the computed polymorphs   3.4 kJ/mol of atoms
E   -1.675 eV per atom

Cell lengths 3.3130, 3.3130, 9.7129 Å; angles 90.00, 90.00, 113.54 degrees
Fractional coordinates of all 4 atoms:
Hg: 0.5000 0.5000 0.7260
In: 0.0000 0.0000 0.9914
In: 0.5000 0.5000 0.2754
Zn: 0.0000 0.0000 0.5072


# 6
The following is a PBE calculation of an optimized crystal structure of ZnIn11Hg17, from Alexandria.

Properties
Calculated density   9.9 g cm⁻³
Total magnetization   0.000 Bohr magnetons per cell
E   -1.218 eV per atom

Cell lengths 11.0207, 11.0206, 7.0965 Å; angles 98.11, 98.11, 69.67 degrees
Fractional coordinates of all 29 atoms:
Zn: 0.3449 0.3449 0.4554
In: 0.2625 0.2625 0.9523
In: 0.5399 0.9167 0.9257
In: 0.0799 0.3877 0.2845
In: 0.7864 0.1807 0.5746
In: 0.5349 0.1351 0.6855
In: 0.7631 0.0812 0.0377
In: 0.0812 0.7631 0.0378
In: 0.1351 0.5349 0.6855
In: 0.1807 0.7864 0.5746
In: 0.3877 0.0799 0.2845
In: 0.9167 0.5399 0.9257
Hg: 0.0135 0.0135 0.3429
Hg: 0.6698 0.6698 0.1579
Hg: 0.7001 0.7001 0.6352
Hg: 0.4221 0.4221 0.8453
Hg: 0.8803 0.8803 0.7175
Hg: 0.3046 0.5572 0.2438
Hg: 0.4284 0.7750 0.3709
Hg: 0.0306 0.2782 0.6254
Hg: 0.9607 0.2108 0.0090
Hg: 0.4262 0.6911 0.8503
Hg: 0.6933 0.9450 0.3393
Hg: 0.9450 0.6933 0.3393
Hg: 0.6911 0.4262 0.8503
Hg: 0.2108 0.9607 0.0090
Hg: 0.2782 0.0306 0.6254
Hg: 0.7750 0.4284 0.3709
Hg: 0.5572 0.3046 0.2439